The following is a GGA-PBE calculation of crystalline Np2Al2Zn15 at its relaxed geometry, from Alexandria.

Cell lengths 6.8143, 6.8143, 6.8143 Å; angles 83.06, 83.06, 83.06 degrees
Last column: nearest neighbours and their distance in Å.
Element x y z (fractional)
Zn 0.0000 0.0000 0.5000  8 Zn 2.59-2.66, 2 Al 2.75
Zn 0.3533 0.3533 0.8376  8 Zn 2.56-2.77
Zn 0.6467 0.1624 0.6467  8 Zn 2.56-2.77
Zn 0.3001 0.0000 0.6999  8 Zn 2.59-2.77
Zn 0.3001 0.6999 0.0000  8 Zn 2.59-2.77
Zn 0.6467 0.6467 0.1624  8 Zn 2.56-2.77
Zn 0.6999 0.0000 0.3001  8 Zn 2.59-2.77
Zn 0.0000 0.5000 0.0000  8 Zn 2.59-2.66, 2 Al 2.75
Zn 0.8376 0.3533 0.3533  8 Zn 2.56-2.77
Zn 0.6999 0.3001 0.0000  8 Zn 2.59-2.77
Zn 0.5000 0.0000 0.0000  8 Zn 2.59-2.66, 2 Al 2.75
Zn 0.0000 0.3001 0.6999  8 Zn 2.59-2.77
Zn 0.3533 0.8376 0.3533  8 Zn 2.56-2.77
Zn 0.0000 0.6999 0.3001  8 Zn 2.59-2.77
Zn 0.1624 0.6467 0.6467  8 Zn 2.56-2.77
Np 0.6647 0.6647 0.6647  1 Al 3.08, 15 Zn 3.17-3.42
Np 0.3353 0.3353 0.3353  1 Al 3.08, 15 Zn 3.17-3.42
Al 0.1012 0.1012 0.1012  1 Al 2.66, 6 Zn 2.75-2.89
Al 0.8988 0.8988 0.8988  1 Al 2.66, 6 Zn 2.75-2.89

The calculation puts the total energy at -53.7 eV per formula unit. The value obtained for the energy relative to the elements is -0.0625 eV per atom. The calculation puts the spin magnetization at 8.6 μB per cell.